As2PbAu2 | Alexandria via LeMat-Bulk | PBEsol | relaxed; DOS(E_F) = 2.20 states/eV/f.u.; energy relative to the elements = 0.078 eV per atom; total magnetization = 0.00 μB per atom
1.0
4.167 0.000 0.000
0.000 4.167 0.000
-2.084 -2.084 6.109
Pb As Au
1 2 2
Direct
0.000 0.000 0.000
0.250 0.750 0.500
0.750 0.250 0.500
0.391 0.391 0.782
0.609 0.609 0.218